# 1
Computed, not measured: a relaxed AcAl3Au3 crystal at the PBE-GGA level of DFT.

Lattice parameters (Å, degrees): 7.9346 4.6502 8.8180 90.00 115.74 90.00
Closest atoms and distances in Å follow each position.
Space group P2_1/m (No. 11)
Inequivalent atoms, fractional coordinates:
Ac1 0.2427 0.2500 0.1555 (multiplicity 2)  8 Au 3.29-3.56, 5 Al 3.38-3.59
Al1 0.0517 0.2500 0.4310 (multiplicity 2)  5 Au 2.71-2.88, 5 Al 2.83-2.90
Al2 0.2898 0.7500 0.5405 (multiplicity 2)  5 Au 2.60-2.90, 3 Al 2.83-2.88
Al3 0.4197 0.2500 0.8586 (multiplicity 2)  4 Au 2.55-2.63
Au1 0.0162 0.2500 0.7426 (multiplicity 2)  5 Al 2.62-2.91
Au2 0.2692 0.7500 0.8604 (multiplicity 2)  5 Al 2.62-2.90
Au3 0.4495 0.2500 0.5825 (multiplicity 2)  5 Al 2.55-2.84

Computed properties:
- DFT formation energy (eV/atom) = -0.5888
- density (Mg/m³) = 10.186
- polymorph energy (0 for the lowest one) (eV/atom) = 0.000
- total magnetization (μB/f.u.) = 0.0

# 2
Computed, not measured: a relaxed LaPm5Hg6 crystal at the PBE-GGA level of DFT.

Lattice parameters (Å, degrees): 5.3969 7.6940 8.5367 90.00 108.19 90.00
Closest atoms and distances in Å follow each position.
Space group P2/m (No. 10)
Inequivalent atoms, fractional coordinates:
La1 0.0000 0.0000 0.0000 (multiplicity 1)  8 Hg 3.34-3.37
Pm1 0.0000 0.5000 0.0000 (multiplicity 1)  8 Hg 3.29-3.34
Pm2 0.3318 0.0000 0.6658 (multiplicity 2)  8 Hg 3.29-3.34
Pm3 0.3338 0.5000 0.6699 (multiplicity 2)  8 Hg 3.28-3.30
Hg1 0.1707 0.2537 0.3386 (multiplicity 4)  7 Pm 3.29-3.34, 1 La 3.37
Hg2 0.5000 0.2547 0.0000 (multiplicity 2)  6 Pm 3.28-3.34, 2 La 3.34

Computed properties:
- DFT formation energy (eV/atom) = -0.4775
- density (Mg/m³) = 10.194
- total magnetization (μB/f.u.) = 2.6

# 3
Computed, not measured: a relaxed CsHg3Pd crystal at the PBE-GGA level of DFT.

Lattice parameters (Å, degrees): 5.6602 5.6602 10.9608 90.00 90.00 120.00
Closest atoms and distances in Å follow each position.
Space group P6_3/mmc (No. 194)
Inequivalent atoms, fractional coordinates:
Cs1 0.3333 0.6667 0.2500 (multiplicity 2)  5 Hg 3.27-3.52
Hg1 0.0000 0.0000 0.2500 (multiplicity 2)  2 Pd 2.74
Hg2 0.3333 0.6667 0.5709 (multiplicity 4)  3 Pd 3.36, 1 Cs 3.52, 3 Hg 3.62
Pd1 0.0000 0.0000 0.0000 (multiplicity 2)  2 Hg 2.74

Computed properties:
- DFT formation energy (eV/atom) = -0.0523
- density (Mg/m³) = 9.185
- polymorph energy (0 for the lowest one) (eV/atom) = 0.224
- total magnetization (μB/f.u.) = 0.0

# 4
Computed, not measured: a relaxed LiIr2Br crystal at the PBE-GGA level of DFT.

Lattice parameters (Å, degrees): 5.3404 8.1918 2.8698 90.00 90.00 90.00
Closest atoms and distances in Å follow each position.
Space group Cmmm (No. 65)
Inequivalent atoms, fractional coordinates:
Li1 0.0000 0.0000 0.0000 (multiplicity 2)  2 Br 2.67, 8 Ir 2.83, 2 Li 2.87
Ir1 0.2500 0.2500 0.5000 (multiplicity 4)  4 Ir 2.67-2.87, 4 Li 2.83, 4 Br 2.83
Br1 0.0000 0.5000 0.0000 (multiplicity 2)  2 Li 2.67, 8 Ir 2.83, 2 Br 2.87

Computed properties:
- density (Mg/m³) = 12.467
- polymorph energy (0 for the lowest one) (eV/atom) = 0.616
- total magnetization (μB/f.u.) = 0.0
- formation energy without anion corrections (eV/atom) = 0.7160